Entry 1:
A geometry-optimized MgAs2Cl structure. Source: the Alexandria database, functional PBE.

Calculated values
**Total magnetization**: 0.000 μB/atom
**Formation energy without anion corrections**: 0.66 eV per formula unit
**Relative energy among the computed polymorphs**: 293.1 kJ/mol of formula units
**Symmetry**: R-3m, No. 166

abc: 9.038 9.038 9.038
angles: 20.70 20.70 20.70
Fractional positions:
Mg: 0.000 0.000 0.000
As: 0.251 0.251 0.251
As: 0.749 0.749 0.749
Cl: 0.500 0.500 0.500



Entry 2:
A geometry-optimized Be3HW structure. Source: the Alexandria database, functional PBE.

Calculated values
**Total magnetization**: 0.000 μB/atom
**Relative energy among the computed polymorphs**: 0.0 kJ/mol of formula units
**Symmetry**: Pm-3m, No. 221

abc: 3.485 3.485 3.485
angles: 90.00 90.00 90.00
Fractional positions:
Be: 0.000 0.000 0.500
Be: 0.000 0.500 0.000
Be: 0.500 0.000 0.000
H: 0.000 0.000 0.000
W: 0.500 0.500 0.500



Entry 3:
A geometry-optimized Pm6PrSm5 structure. Source: the Alexandria database, functional PBE.

Calculated values
**Energy of formation**: 13 meV per atom
**Total magnetization**: 0.000 μB/atom
**Symmetry**: C2/m, No. 12

abc: 6.319 6.319 12.098
angles: 95.02 95.02 119.99
Fractional positions:
Pm: 0.083 0.417 0.749
Pm: 0.249 0.249 0.251
Pm: 0.417 0.083 0.749
Pm: 0.583 0.917 0.251
Pm: 0.751 0.751 0.749
Pm: 0.917 0.583 0.251
Pr: 0.500 0.500 0.000
Sm: 0.000 0.000 0.500
Sm: 0.167 0.833 0.000
Sm: 0.333 0.667 0.500
Sm: 0.667 0.333 0.500
Sm: 0.833 0.167 0.000



Entry 4:
A geometry-optimized YLuMgCo structure. Source: the Alexandria database, functional PBE.

Calculated values
**Energy of formation**: -28 meV per atom
**Total magnetization**: 0.075 μB/atom
**Symmetry**: F-43m, No. 216

abc: 4.972 4.972 4.972
angles: 60.00 60.00 60.00
Fractional positions:
Y: 0.000 0.000 0.000
Lu: 0.500 0.500 0.500
Mg: 0.250 0.250 0.250
Co: 0.750 0.750 0.750